DFT (GGA+U) results for Mn3MoCl2O6 after structural relaxation.

The structure belongs to space group C2/m (No. 12); the cell edges are 10.297, 6.181 and 5.543 Å and the angles 90.00°, 102.10° and 90.00°. The asymmetric unit holds Mn at (0.000, 0.000, 0.000), Mn at (0.250, 0.250, 0.500), Mo at (0.000, 0.500, 0.500), Cl at (0.198, 0.000, 0.824), O at (0.065, 0.270, 0.309) and O at (0.190, 0.500, 0.668).

For the total energy, the calculation gives -6.587 eV/atom. For the magnetization, the calculation gives 13.00 μB/f.u.